A relaxed structure of DyGa2Ni6. Source: Alexandria via LeMat-Bulk, functional PBE.

a = 7.428 Å, b = 7.428 Å, c = 7.428 Å
α = 60.00°, β = 60.00°, γ = 60.00°
Sites, in units of the cell vectors:
Ni (0.506, 0.994, 0.994)
Ni (0.506, 0.506, 0.994)
Ga (0.125, 0.625, 0.125)
Ni (0.744, 0.744, 0.256)
Ni (0.744, 0.256, 0.256)
Ni (0.994, 0.506, 0.994)
Ni (0.506, 0.994, 0.506)
Ni (0.256, 0.744, 0.256)
Ni (0.256, 0.256, 0.744)
Ni (0.256, 0.744, 0.744)
Ga (0.625, 0.125, 0.125)
Dy (0.750, 0.750, 0.750)
Ni (0.994, 0.994, 0.506)
Ga (0.125, 0.125, 0.125)
Ga (0.125, 0.125, 0.625)
Ni (0.744, 0.256, 0.744)
Ni (0.994, 0.506, 0.506)
Dy (0.500, 0.500, 0.500)

Fermi-level density of states = 0.26 states/eV per atom
volume = 289.8 Å³/cell
ΔH_f (0 K) = 0.173 eV/atom
magnetic moment = 0.0 Bohr magnetons per cell